Compound: Tb19Pm4Th6
Source: Alexandria
Functional: PBE
Structure: optimized geometry

abc: 10.838 10.839 10.839
angles: 109.47 109.47 109.47
Fractional coordinates of all 29 atoms:
Th 0.129 0.629 0.500
Th 0.500 0.129 0.629
Tb 0.000 0.000 0.000
Tb 0.735 0.000 0.735
Tb 0.676 0.657 0.463
Pm 0.000 0.000 0.642
Pm 0.642 0.000 0.000
Tb 0.000 0.265 0.265
Pm 0.358 0.358 0.358
Th 0.871 0.371 0.500
Tb 0.657 0.463 0.676
Tb 0.537 0.195 0.214
Tb 0.735 0.735 0.000
Th 0.629 0.500 0.129
Tb 0.265 0.000 0.265
Tb 0.019 0.805 0.343
Tb 0.463 0.676 0.657
Tb 0.343 0.019 0.805
Tb 0.214 0.537 0.195
Tb 0.000 0.735 0.735
Th 0.500 0.871 0.371
Tb 0.265 0.265 0.000
Tb 0.195 0.214 0.537
Tb 0.805 0.343 0.019
Tb 0.981 0.324 0.786
Tb 0.324 0.786 0.981
Tb 0.786 0.981 0.324
Th 0.371 0.500 0.871
Pm 0.000 0.642 0.000

Summary:
Final energy in eV per formula unit: -139.3
Formation enthalpy at 0 K in eV per atom: 0.42
Calculated density in g/cm³: 8.5

---

Compound: TbPm12Th7
Source: Alexandria
Functional: PBE
Structure: optimized geometry

abc: 10.033 10.033 10.033
angles: 109.47 109.47 109.47
Fractional coordinates of all 20 atoms:
Pm 0.076 0.304 0.772
Pm 0.772 0.076 0.304
Pm 0.228 0.532 0.304
Th 0.500 0.000 0.500
Pm 0.228 0.924 0.696
Pm 0.696 0.228 0.924
Th 0.500 0.500 0.500
Pm 0.304 0.228 0.532
Th 0.000 0.500 0.000
Pm 0.696 0.772 0.468
Pm 0.772 0.468 0.696
Tb 0.000 0.000 0.000
Pm 0.468 0.696 0.772
Th 0.500 0.000 0.000
Pm 0.304 0.772 0.076
Pm 0.924 0.696 0.228
Th 0.500 0.500 0.000
Th 0.000 0.500 0.500
Pm 0.532 0.304 0.228
Th 0.000 0.000 0.500

Summary:
Final energy in eV per formula unit: -96.0
Formation enthalpy at 0 K in eV per atom: 0.88
Calculated density in g/cm³: 7.5